A geometry-optimized ScV2Br structure. Source: Alexandria, functional PBE.

Calculated values
* energy: -5.7589 eV/atom
* ΔE to the lowest computed polymorph: 225 meV/atom
* ΔE_f (raw): 0.802 eV per atom
* N(E_F): 5.17 states/eV/f.u.
* crystal system: cubic

a b c (Å): 4.6594 4.6594 4.6594
angles (deg): 60.00 60.00 60.00
With the nearest neighbours (Å) after each atom.
Fractional positions:
Sc  0.0000  0.0000  0.0000  8 V 2.85
V  0.2500  0.2500  0.2500  4 Br 2.85, 4 Sc 2.85
V  0.7500  0.7500  0.7500  4 Br 2.85, 4 Sc 2.85
Br  0.5000  0.5000  0.5000  8 V 2.85